# 1
This record from the Alexandria database describes crystalline K3NdSb2Se6 at its relaxed geometry. The functional is PBE.

Cell and atoms, written as POSCAR:
```
K3NdSb2Se6
1.0
3.7117 -6.4289 0.0000
3.7117 6.4289 0.0000
-2.4736 0.0000 7.7008
K Nd Sb Se
3 1 2 6
Cartesian
0.0000 0.0000 0.0000 K
3.7117 2.1468 0.0000 K
3.7117 -2.1468 0.0000 K
2.4749 0.0000 3.8504 Nd
2.4749 4.2854 3.8504 Sb
2.4749 -4.2854 3.8504 Sb
1.2144 2.1848 2.2527 Se
-0.0465 0.0000 5.4513 Se
1.2144 -2.1848 2.2527 Se
3.7354 2.1848 5.4481 Se
4.9962 0.0000 2.2495 Se
3.7354 -2.1848 5.4481 Se
```

Symmetry: C2/m (12)
Energy (eV for the cell shown): -49.79

---

# 2
This record from the Alexandria database describes crystalline La3Pm2Er2 at its relaxed geometry. The functional is PBE.

Cell and atoms, written as POSCAR:
```
La3Pm2Er2
1.0
8.9441 -1.7744 0.0000
8.9441 1.7744 0.0000
-4.1657 0.0000 7.6104
La Pm Er
3 2 2
Cartesian
0.0000 0.0000 0.0000 La
2.6005 0.0000 2.2297 La
11.1220 0.0000 5.3807 La
5.3398 0.0000 4.4745 Pm
8.3828 0.0000 3.1358 Pm
-0.8652 0.0000 6.3064 Er
14.5878 0.0000 1.3039 Er
```

Symmetry: C2/m (12)
DOS at the Fermi energy (states/eV/f.u.): 11.1
Energy (eV for the cell shown): -32.62

---

# 3
This record from the Alexandria database describes crystalline SiPbW2 at its relaxed geometry. The functional is PBE.

Cell and atoms, written as POSCAR:
```
SiPbW2
1.0
1.5673 0.9049 8.8092
-1.5673 0.9049 8.8092
0.0000 -1.8098 8.8092
Si Pb W
1 1 2
Cartesian
0.0000 0.0000 0.0000 Si
0.0000 0.0000 20.1729 Pb
0.0000 0.0000 6.9630 W
0.0000 0.0000 13.8325 W
```

ΔE to the lowest computed polymorph (meV/atom): 169
Symmetry: R3m (160)
DOS at the Fermi energy (states/eV/f.u.): 2.0
Energy (eV for the cell shown): -32.97

---

# 4
This record from the Alexandria database describes crystalline Th2Sn2Rh7 at its relaxed geometry. The functional is PBE.

Cell and atoms, written as POSCAR:
```
Th2Sn2Rh7
1.0
4.4074 -2.9556 0.0000
4.4074 2.9556 0.0000
-3.8227 0.0000 8.0636
Th Sn Rh
2 2 7
Cartesian
-0.3292 0.0000 3.1341 Th
5.3213 0.0000 4.9295 Th
4.4074 1.4935 0.0000 Sn
4.4074 -1.4935 0.0000 Sn
2.2026 1.4207 1.6693 Rh
0.5254 0.0000 5.7829 Rh
2.7894 1.4207 6.3943 Rh
2.4960 0.0000 4.0318 Rh
2.2026 -1.4207 1.6693 Rh
4.4666 0.0000 2.2807 Rh
2.7894 -1.4207 6.3943 Rh
```

Symmetry: C2/m (12)
DOS at the Fermi energy (states/eV/f.u.): 7.6
Energy (eV for the cell shown): -79.71